The following is a PBE with a Hubbard U calculation of a relaxed K2TlVO4 crystal, from Alexandria via LeMat-Bulk.

The calculation puts the total energy at -5.731 eV per atom. Its density of states at the Fermi level is 0.0 states/eV/f.u.

It has space group Pmn2_1 (No. 31), with a = 8.5132 Å, b = 6.1774 Å, c = 5.9927 Å, α = 90.00°, β = 90.00° and γ = 90.00°. The asymmetric unit holds K at (0.2384, 0.2360, 0.0000), Tl at (0.0000, 0.7170, 0.9927), V at (0.0000, 0.1888, 0.4950), O at (0.0000, 0.0065, 0.2687), O at (0.0000, 0.0345, 0.7428) and O at (0.1696, 0.3441, 0.4831).

---

The following is a PBE with a Hubbard U calculation of a relaxed KTlVO4 crystal, from Alexandria via LeMat-Bulk.

The calculation puts the total energy at -5.907 eV per atom. Its density of states at the Fermi level is 3.6 states/eV/f.u.

It has space group P2_1/m (No. 11), with a = 6.0353 Å, b = 6.3614 Å, c = 7.2774 Å, α = 90.00°, β = 109.11° and γ = 90.00°. The asymmetric unit holds K at (0.2080, 0.2500, 0.4470), Tl at (0.3237, 0.2500, 0.9865), V at (0.2311, 0.7500, 0.1680), O at (0.0371, 0.7500, 0.3021), O at (0.0657, 0.7500, 0.9279) and O at (0.4221, 0.5286, 0.2219).

---

The following is a PBE with a Hubbard U calculation of a relaxed K2TlV2O7 crystal, from Alexandria via LeMat-Bulk.

The calculation puts the total energy at -6.207 eV per atom. Its density of states at the Fermi level is 4.4 states/eV/f.u.

It has space group R32 (No. 155, hexagonal axes), with a = 6.1803 Å, b = 6.1803 Å, c = 23.0849 Å, α = 90.00°, β = 90.00° and γ = 120.00°. The asymmetric unit holds K at (0.0000, 0.0000, 0.2296), Tl at (0.0000, 0.0000, 0.5000), V at (0.0000, 0.0000, 0.0785), O at (0.0000, 0.0000, 0.0000) and O at (0.0385, 0.4646, 0.7712).

---

The following is a PBE with a Hubbard U calculation of a relaxed K2TlVO5 crystal, from Alexandria via LeMat-Bulk.

The calculation puts the total energy at -5.539 eV per atom.

It has space group Cmc2_1 (No. 36), with a = 3.5008 Å, b = 17.7699 Å, c = 9.9676 Å, α = 90.00°, β = 90.00° and γ = 90.00°. The asymmetric unit holds K at (0.0000, 0.0625, 0.0000), K at (0.0000, 0.1086, 0.6690), Tl at (0.0000, 0.2551, 0.4423), V at (0.0000, 0.3973, 0.8000), O at (0.0000, 0.0906, 0.3702), O at (0.0000, 0.3170, 0.9798), O at (0.0000, 0.3272, 0.6863), O at (0.0000, 0.3592, 0.3594) and O at (0.0000, 0.4778, 0.7050).

---

The following is a PBE with a Hubbard U calculation of a relaxed KTlV2O6 crystal, from Alexandria via LeMat-Bulk.

The calculation puts the total energy at -6.607 eV per atom. Its density of states at the Fermi level is 0.0 states/eV/f.u.

It has space group C2/c (No. 15), with a = 11.3806 Å, b = 11.4192 Å, c = 5.8290 Å, α = 90.00°, β = 98.93° and γ = 90.00°. The asymmetric unit holds K at (0.0000, 0.1880, 0.2500), Tl at (0.0000, 0.3966, 0.7500), V at (0.2113, 0.0828, 0.7654), O at (0.1362, 0.2063, 0.6916), O at (0.1413, 0.3914, 0.1978) and O at (0.1669, 0.0237, 0.0323).

---

The following is a PBE with a Hubbard U calculation of a relaxed KTl2VO4 crystal, from Alexandria via LeMat-Bulk.

The calculation puts the total energy at -5.677 eV per atom. Its density of states at the Fermi level is 0.0 states/eV/f.u.

It has space group Pmn2_1 (No. 31), with a = 7.8636 Å, b = 8.1570 Å, c = 5.7591 Å, α = 90.00°, β = 90.00° and γ = 90.00°. The asymmetric unit holds K at (0.0000, 0.1180, 0.0000), Tl at (0.2457, 0.3162, 0.5031), V at (0.0000, 0.8719, 0.4874), O at (0.0000, 0.0876, 0.5150), O at (0.0000, 0.8221, 0.1872) and O at (0.1815, 0.7930, 0.6168).

---

The following is a PBE with a Hubbard U calculation of a relaxed KTl3W2O8 crystal, from Alexandria via LeMat-Bulk.

The calculation puts the total energy at -6.088 eV per atom. Its density of states at the Fermi level is 0.0 states/eV/f.u.

It has space group P-3m1 (No. 164), with a = 6.4233 Å, b = 6.4233 Å, c = 8.2165 Å, α = 90.00°, β = 90.00° and γ = 120.00°. The asymmetric unit holds K at (0.0000, 0.0000, 0.0000), Tl at (0.0000, 0.0000, 0.5000), Tl at (0.3333, 0.6667, 0.1790), W at (0.3333, 0.6667, 0.6955), O at (0.1797, 0.3593, 0.7713) and O at (0.3333, 0.6667, 0.4739).

---

The following is a PBE with a Hubbard U calculation of a relaxed KTl2WO4 crystal, from Alexandria via LeMat-Bulk.

The calculation puts the total energy at -5.527 eV per atom. Its density of states at the Fermi level is 2.5 states/eV/f.u.

It has space group I-42m (No. 121), with a = 7.4025 Å, b = 7.4025 Å, c = 6.9998 Å, α = 90.00°, β = 90.00° and γ = 90.00°. The asymmetric unit holds K at (0.0000, 0.0000, 0.0000), Tl at (0.0000, 0.5000, 0.2500), W at (0.0000, 0.0000, 0.5000) and O at (0.1395, 0.1395, 0.6562).